#a
## MnAs2Cl2 (GGA-PBE)

Data for MnAs2Cl2 after structural relaxation.

The calculated volume is 22.554 A^3/atom.

The space group is P4/mbm (No. 127) and the conventional cell measures 6.679, 6.679 and 5.056 Å, with angles of 90.00, 90.00 and 90.00 degrees. The distinct sites, in fractional coordinates, are Mn at (0.000, 0.000, 0.000), As at (0.136, 0.364, 0.000) and Cl at (0.177, 0.323, 0.500).

#b
## MnAs2Cl2 (GGA-PBE)

Data for MnAs2Cl2 after structural relaxation.

The calculated volume is 24.892 A^3/atom.

The space group is I4/mmm (No. 139) and the conventional cell measures 3.556, 3.556 and 19.689 Å, with angles of 90.00, 90.00 and 90.00 degrees. The distinct sites, in fractional coordinates, are Mn at (0.000, 0.000, 0.000), As at (0.000, 0.000, 0.439) and Cl at (0.000, 0.500, 0.250).

The energetic minimum among the shown structures is #a; the next structure lies 387 meV/atom above.